1.
Compound: MnGePHCN
Source: Alexandria
Functional: GGA-PBE
Structure: optimized geometry

Results
- space-group type = No. 1

Cell lengths 3.3877, 4.4361, 5.0432 Å; angles 101.25, 91.73, 109.13 degrees
Closest atoms and distances in Å follow each position.
Fractional coordinates of all 6 atoms:
Mn 0.0000 0.0000 0.0000  1 H 1.60, 1 C 1.78
Ge 0.9381 0.8267 0.4829  3 P 2.55-2.61, 2 Mn 2.55-2.69, 1 H 2.55, 1 N 2.84
P 0.5977 0.1941 0.3089  2 Mn 2.32-2.33, 1 H 2.37, 2 Ge 2.55-2.59
H 0.8232 0.2410 0.8736  1 C 1.31
C 0.2290 0.3963 0.9325  1 N 1.24, 1 H 1.31
N 0.3699 0.6841 0.9063  1 C 1.24

2.
Compound: SrLiCd2Pd
Source: Alexandria
Functional: GGA-PBE
Structure: optimized geometry

Results
- calculated formation energy (eV per formula unit) = -2.00
- space-group type = No. 44

Cell lengths 7.2874, 7.2874, 7.2874 Å; angles 145.92, 145.76, 49.09 degrees
Closest atoms and distances in Å follow each position.
Fractional coordinates of all 5 atoms:
Sr 0.0000 0.0000 0.0000  4 Pd 3.21, 6 Cd 3.47-3.59, 2 Li 3.56
Li 0.2853 0.7853 0.5000  2 Pd 2.78, 6 Cd 2.99-3.03
Cd 0.6282 0.6282 0.0000  1 Pd 2.76, 2 Cd 2.95, 2 Li 2.99
Cd 0.7822 0.2822 0.5000  2 Pd 2.81, 2 Cd 2.95, 4 Li 3.03
Pd 0.4197 0.4197 0.0000  3 Cd 2.76-2.81, 2 Li 2.78

3.
Compound: CdSi2H2
Source: Alexandria
Functional: GGA-PBE
Structure: optimized geometry

Results
- space-group type = No. 127

Cell lengths 7.0031, 7.0031, 2.7835 Å; angles 90.00, 90.00, 90.00 degrees
Closest atoms and distances in Å follow each position.
Fractional coordinates of all 10 atoms:
Cd 0.0000 0.0000 0.0000  2 Cd 2.78, 4 Si 2.80
Cd 0.5000 0.5000 0.0000  2 Cd 2.78, 4 Si 2.80
Si 0.1180 0.3820 0.0000  4 H 2.05
Si 0.3820 0.8820 0.0000  4 H 2.05
Si 0.6180 0.1180 0.0000  4 H 2.05
Si 0.8820 0.6180 0.0000  4 H 2.05
H 0.0950 0.5950 0.5000  1 H 1.88, 4 Si 2.05
H 0.4050 0.0950 0.5000  1 H 1.88, 4 Si 2.05
H 0.5950 0.9050 0.5000  1 H 1.88, 4 Si 2.05
H 0.9050 0.4050 0.5000  1 H 1.88, 4 Si 2.05

4.
Compound: Sr4Al5
Source: Alexandria
Functional: GGA-PBE
Structure: optimized geometry

Results
- calculated formation energy (eV per formula unit) = 0.83
- space-group type = No. 193

Cell lengths 9.5884, 9.5884, 6.7056 Å; angles 90.00, 90.00, 120.00 degrees
Closest atoms and distances in Å follow each position.
Fractional coordinates of all 18 atoms:
Sr 0.0000 0.0000 0.0000  2 Sr 3.35, 6 Al 3.45
Sr 0.0000 0.0000 0.5000  2 Sr 3.35, 6 Al 3.45
Sr 0.0000 0.3627 0.2500  5 Al 3.10-3.39
Sr 0.0000 0.6373 0.7500  5 Al 3.10-3.39
Sr 0.3627 0.0000 0.2500  5 Al 3.10-3.39
Sr 0.3627 0.3627 0.7500  5 Al 3.10-3.39
Sr 0.6373 0.0000 0.7500  5 Al 3.10-3.39
Sr 0.6373 0.6373 0.2500  5 Al 3.10-3.39
Al 0.0000 0.3139 0.7500  7 Sr 3.10-3.45
Al 0.0000 0.6861 0.2500  7 Sr 3.10-3.45
Al 0.3139 0.0000 0.7500  7 Sr 3.10-3.45
Al 0.3139 0.3139 0.2500  7 Sr 3.10-3.45
Al 0.3333 0.6667 0.0000  8 Al 3.35-3.70, 6 Sr 3.49
Al 0.3333 0.6667 0.5000  8 Al 3.35-3.70, 6 Sr 3.49
Al 0.6667 0.3333 0.0000  8 Al 3.35-3.70, 6 Sr 3.49
Al 0.6667 0.3333 0.5000  8 Al 3.35-3.70, 6 Sr 3.49
Al 0.6861 0.0000 0.2500  7 Sr 3.10-3.45
Al 0.6861 0.6861 0.7500  7 Sr 3.10-3.45

5.
Compound: CaCd9In2
Source: Alexandria
Functional: GGA-PBE
Structure: optimized geometry

Results
- calculated formation energy (eV per formula unit) = -0.68
- space-group type = No. 141

Cell lengths 9.3953, 9.3953, 9.3953 Å; angles 101.61, 101.61, 126.70 degrees
Closest atoms and distances in Å follow each position.
Fractional coordinates of all 24 atoms:
Ca 0.3750 0.6250 0.7500  16 Cd 3.75-3.78
Ca 0.6250 0.3750 0.2500  16 Cd 3.75-3.78
Cd 0.1219 0.5457 0.3361  5 Cd 2.85-3.12, 1 In 2.98
Cd 0.1219 0.7857 0.5762  5 Cd 2.85-3.12, 1 In 2.98
Cd 0.1250 0.8750 0.2500  4 In 3.15, 8 Cd 3.34
Cd 0.2143 0.2904 0.3361  5 Cd 2.85-3.12, 1 In 2.98
Cd 0.2143 0.8781 0.9238  5 Cd 2.85-3.12, 1 In 2.98
Cd 0.2904 0.2143 0.8361  5 Cd 2.85-3.12, 1 In 2.98
Cd 0.2904 0.4543 0.0762  5 Cd 2.85-3.12, 1 In 2.98
Cd 0.4543 0.2904 0.5762  5 Cd 2.85-3.12, 1 In 2.98
Cd 0.4543 0.8781 0.1639  5 Cd 2.85-3.12, 1 In 2.98
Cd 0.5457 0.1219 0.8361  5 Cd 2.85-3.12, 1 In 2.98
Cd 0.5457 0.7096 0.4238  5 Cd 2.85-3.12, 1 In 2.98
Cd 0.7096 0.5457 0.9238  5 Cd 2.85-3.12, 1 In 2.98
Cd 0.7096 0.7857 0.1639  5 Cd 2.85-3.12, 1 In 2.98
Cd 0.7857 0.1219 0.0762  5 Cd 2.85-3.12, 1 In 2.98
Cd 0.7857 0.7096 0.6639  5 Cd 2.85-3.12, 1 In 2.98
Cd 0.8750 0.1250 0.7500  4 In 3.15, 8 Cd 3.34
Cd 0.8781 0.2143 0.4238  5 Cd 2.85-3.12, 1 In 2.98
Cd 0.8781 0.4543 0.6639  5 Cd 2.85-3.12, 1 In 2.98
In 0.0000 0.0000 0.0000  10 Cd 2.98-3.20
In 0.0000 0.0000 0.5000  10 Cd 2.98-3.20
In 0.0000 0.5000 0.0000  10 Cd 2.98-3.20
In 0.5000 0.0000 0.5000  10 Cd 2.98-3.20

6.
Compound: BaMn2Ni
Source: Alexandria
Functional: GGA-PBE
Structure: optimized geometry

Results
- calculated formation energy (eV per formula unit) = 3.36
- space-group type = No. 139

Cell lengths 5.7068, 5.7068, 5.7068 Å; angles 137.94, 137.94, 60.99 degrees
Closest atoms and distances in Å follow each position.
Fractional coordinates of all 4 atoms:
Ba 0.0000 0.0000 0.0000  4 Ni 2.90, 8 Mn 3.20
Mn 0.2500 0.7500 0.5000  4 Mn 2.90, 4 Ba 3.20, 4 Ni 3.20
Mn 0.7500 0.2500 0.5000  4 Mn 2.90, 4 Ba 3.20, 4 Ni 3.20
Ni 0.5000 0.5000 0.0000  4 Ba 2.90, 8 Mn 3.20

7.
Compound: NbCuSi
Source: Alexandria
Functional: GGA-PBE
Structure: optimized geometry

Results
- space-group type = No. 5
- ΔE_f (raw) (meV per atom) = -104.4

Cell lengths 4.7122, 4.7122, 5.6704 Å; angles 119.73, 119.73, 60.75 degrees
Closest atoms and distances in Å follow each position.
Fractional coordinates of all 6 atoms:
Nb 0.1741 0.1741 0.0175  5 Si 2.68-2.79, 3 Nb 2.72-2.74, 3 Cu 2.74-2.90
Nb 0.8259 0.8259 0.9825  5 Si 2.68-2.79, 3 Nb 2.72-2.74, 3 Cu 2.74-2.90
Cu 0.6625 0.0144 0.5039  5 Si 2.59-2.87, 3 Cu 2.65-2.77, 3 Nb 2.74-2.90
Cu 0.9856 0.3375 0.4961  5 Si 2.59-2.87, 3 Cu 2.65-2.77, 3 Nb 2.74-2.90
Si 0.2909 0.7091 0.5000  6 Cu 2.59-2.87, 4 Nb 2.68-2.79
Si 0.5059 0.4941 0.0000  6 Nb 2.71-2.77, 4 Cu 2.73-2.77, 2 Si 3.01

8.
Compound: Pm8Pr3Sm3
Source: Alexandria
Functional: GGA-PBE
Structure: optimized geometry

Results
- calculated formation energy (eV per formula unit) = 1.48
- space-group type = No. 71

Cell lengths 9.9198, 9.9198, 9.9198 Å; angles 146.20, 112.78, 77.40 degrees
Closest atoms and distances in Å follow each position.
Fractional coordinates of all 14 atoms:
Pm 0.0584 0.3965 0.6620  5 Pm 3.21-3.56
Pm 0.0633 0.2227 0.8406  6 Pm 3.33-3.60, 2 Sm 3.67
Pm 0.2655 0.6035 0.6620  5 Pm 3.21-3.56
Pm 0.3822 0.2227 0.1594  6 Pm 3.33-3.60, 2 Sm 3.67
Pm 0.6178 0.7773 0.8406  6 Pm 3.33-3.60, 2 Sm 3.67
Pm 0.7345 0.3965 0.3380  5 Pm 3.21-3.56
Pm 0.9367 0.7773 0.1594  6 Pm 3.33-3.60, 2 Sm 3.67
Pm 0.9416 0.6035 0.3380  5 Pm 3.21-3.56
Pr 0.0000 0.0000 0.0000  2 Pr 3.35, 8 Pm 3.75
Pr 0.3054 0.0000 0.3054  1 Pr 3.35, 4 Sm 3.56-3.59, 4 Pm 3.66
Pr 0.6946 0.0000 0.6946  1 Pr 3.35, 4 Sm 3.56-3.59, 4 Pm 3.66
Sm 0.3158 0.8158 0.5000  2 Pr 3.56, 8 Pm 3.67-3.79
Sm 0.5000 0.5000 0.0000  4 Pr 3.59
Sm 0.6842 0.1842 0.5000  2 Pr 3.56, 8 Pm 3.67-3.79

9.
Compound: HfTi6Co
Source: Alexandria
Functional: GGA-PBE
Structure: optimized geometry

Results
- calculated formation energy (eV per formula unit) = 0.33
- space-group type = No. 12

Cell lengths 6.0264, 6.0264, 5.2406 Å; angles 115.73, 115.73, 101.13 degrees
Closest atoms and distances in Å follow each position.
Fractional coordinates of all 8 atoms:
Hf 0.0000 0.0000 0.0000  2 Co 2.62
Ti 0.0329 0.4592 0.7461  1 Co 2.41
Ti 0.4592 0.0329 0.7461  1 Co 2.41
Ti 0.5002 0.5002 0.2598  6 Ti 2.52-2.79
Ti 0.4998 0.4998 0.7402  6 Ti 2.52-2.79
Ti 0.5408 0.9671 0.2539  1 Co 2.41
Ti 0.9671 0.5408 0.2539  1 Co 2.41
Co 0.0000 0.0000 0.5000  4 Ti 2.41, 2 Hf 2.62

10.
Compound: Rb2MoRhI6
Source: Alexandria
Functional: GGA-PBE
Structure: optimized geometry

Results
- space-group type = No. 139
- ΔE_f (raw) (meV per atom) = -491.2

Cell lengths 8.0707, 8.0707, 8.0707 Å; angles 120.10, 120.10, 89.82 degrees
Closest atoms and distances in Å follow each position.
Fractional coordinates of all 10 atoms:
Rb 0.2500 0.7500 0.5000  12 I 4.03-4.04
Rb 0.7500 0.2500 0.5000  12 I 4.03-4.04
Mo 0.0000 0.0000 0.0000  6 I 2.86-2.87
Rh 0.5000 0.5000 0.0000  6 I 2.83-2.85
I 0.2506 0.2506 0.0000  1 Rh 2.85, 1 Mo 2.86
I 0.2515 0.2515 0.5031  1 Rh 2.83, 1 Mo 2.87
I 0.2515 0.7485 0.0000  1 Rh 2.83, 1 Mo 2.87
I 0.7485 0.2515 0.0000  1 Rh 2.83, 1 Mo 2.87
I 0.7485 0.7485 0.4969  1 Rh 2.83, 1 Mo 2.87
I 0.7494 0.7494 0.0000  1 Rh 2.85, 1 Mo 2.86

11.
Compound: CoAg2Sb
Source: Alexandria
Functional: GGA-PBE
Structure: optimized geometry

Results
- space-group type = No. 166
- ΔE_f (raw) (meV per atom) = 501.5

Cell lengths 9.4446, 9.4446, 9.4446 Å; angles 18.68, 18.68, 18.68 degrees
Closest atoms and distances in Å follow each position.
Fractional coordinates of all 4 atoms:
Co 0.0000 0.0000 0.0000  6 Ag 2.72
Ag 0.2593 0.2593 0.2593  3 Co 2.72
Ag 0.7407 0.7407 0.7407  3 Co 2.72
Sb 0.5000 0.5000 0.5000  6 Sb 3.07, 6 Ag 3.13

12.
Compound: KTaB3
Source: Alexandria
Functional: GGA-PBE
Structure: optimized geometry

Results
- calculated formation energy (eV per formula unit) = 16.12
- space-group type = No. 221

Cell lengths 4.0785, 4.0785, 4.0785 Å; angles 90.00, 90.00, 90.00 degrees
Closest atoms and distances in Å follow each position.
Fractional coordinates of all 5 atoms:
K 0.0000 0.0000 0.0000  6 B 2.04
Ta 0.5000 0.5000 0.5000  12 B 2.88
B 0.0000 0.0000 0.5000  2 K 2.04
B 0.0000 0.5000 0.0000  2 K 2.04
B 0.5000 0.0000 0.0000  2 K 2.04

Number 1: DFT total energy -38.1 eV per cell. Number 2: DFT total energy -12.6 eV per cell. Number 3: DFT total energy -30.4 eV per cell. Number 4: DFT total energy -49.2 eV per cell. Number 5: DFT total energy -32.8 eV per cell. Number 6: DFT total energy -22.7 eV per cell. Number 7: DFT total energy -39.8 eV per cell. Number 8: DFT total energy -65.0 eV per cell. Number 9: DFT total energy -64.1 eV per cell. Number 10: DFT total energy -34.3 eV per cell. Number 11: DFT total energy -14.9 eV per cell. Number 12: DFT total energy -16.9 eV per cell.